1.
Material: PrErAlGa
Method: DFT, PBE
State: relaxed

Summary:
The value obtained for the energy of formation from the pure elements is -448 meV per atom. The space group is F-43m. As for the magnetic moment: 0.0 Bohr magnetons per cell. The density of states at the Fermi level is 1.17 states/eV/cell.

Lattice parameters (Å, degrees): 5.167 5.167 5.167 60.00 60.00 60.00
Positions (direct):
Er: 0.000 0.000 0.000
Ga: 0.750 0.750 0.750
Pr: 0.500 0.500 0.500
Al: 0.250 0.250 0.250

=====

2.
Material: NaTl2Au2
Method: DFT, PBE
State: relaxed

Summary:
The value obtained for the energy of formation from the pure elements is -119 meV per atom. The space group is P4/mbm. As for the magnetic moment: 0.0 Bohr magnetons per cell. The density of states at the Fermi level is 4.40 states/eV/cell.

Lattice parameters (Å, degrees): 7.932 7.932 3.968 90.00 90.00 90.00
Positions (direct):
Tl: 0.170 0.670 0.500
Au: 0.631 0.131 0.000
Tl: 0.670 0.830 0.500
Au: 0.869 0.631 0.000
Na: 0.500 0.500 0.000
Tl: 0.830 0.330 0.500
Na: 0.000 0.000 0.000
Au: 0.369 0.869 0.000
Au: 0.131 0.369 0.000
Tl: 0.330 0.170 0.500

=====

3.
Material: Mg2CrRu
Method: DFT, PBE
State: relaxed

Summary:
The value obtained for the energy of formation from the pure elements is 323 meV per atom. The space group is C2/m. As for the magnetic moment: 2.6 Bohr magnetons per cell. The density of states at the Fermi level is 3.07 states/eV/cell.

Lattice parameters (Å, degrees): 5.286 5.286 2.851 79.05 79.05 118.55
Site moments in Bohr magnetons follow the coordinates.
Positions (direct):
Mg: 0.000 0.000 0.000  -0.01
Cr: 0.000 0.500 0.500  3.03
Mg: 0.500 0.500 0.000  -0.01
Ru: 0.500 0.000 0.500  -0.67

=====

4.
Material: Nb8ZnH6
Method: DFT, PBE
State: relaxed

Summary:
The space group is R-3. As for the raw total energy: -6.898 eV per atom. As for the magnetic moment: 0.0 Bohr magnetons per cell. The density of states at the Fermi level is 6.80 states/eV/cell.

Lattice parameters (Å, degrees): 5.676 5.676 5.676 95.13 95.13 95.13
Positions (direct):
Nb: 0.099 0.780 0.440
H: 0.477 0.566 0.160
Zn: 0.000 0.000 0.000
H: 0.566 0.160 0.477
Nb: 0.323 0.323 0.323
Nb: 0.440 0.099 0.780
Nb: 0.677 0.677 0.677
H: 0.160 0.477 0.566
H: 0.523 0.434 0.840
H: 0.840 0.523 0.434
Nb: 0.780 0.440 0.099
Nb: 0.220 0.560 0.901
H: 0.434 0.840 0.523
Nb: 0.560 0.901 0.220
Nb: 0.901 0.220 0.560

=====

5.
Material: Cr3C
Method: DFT, PBE
State: relaxed

Summary:
The value obtained for the energy of formation from the pure elements is 537 meV per atom. The space group is P6_3/mmc. As for the magnetic moment: 0.0 Bohr magnetons per cell. The density of states at the Fermi level is 5.26 states/eV/cell.

Lattice parameters (Å, degrees): 4.699 4.699 4.064 90.00 90.00 120.00
Positions (direct):
Cr: 0.830 0.170 0.250
Cr: 0.830 0.661 0.250
C: 0.667 0.333 0.750
Cr: 0.661 0.830 0.750
Cr: 0.339 0.170 0.250
Cr: 0.170 0.830 0.750
C: 0.333 0.667 0.250
Cr: 0.170 0.339 0.750

=====

6.
Material: Ho5Zn
Method: DFT, PBE
State: relaxed

Summary:
The value obtained for the energy of formation from the pure elements is -5 meV per atom. The space group is Cmmm. As for the magnetic moment: 0.0 Bohr magnetons per cell. The density of states at the Fermi level is 6.76 states/eV/cell.

Lattice parameters (Å, degrees): 4.775 4.762 7.748 107.90 90.00 90.00
Positions (direct):
Ho: 0.500 0.500 0.000
Zn: 0.000 0.000 0.000
Ho: 0.500 0.833 0.666
Ho: 0.000 0.339 0.679
Ho: 0.500 0.167 0.334
Ho: 0.000 0.661 0.321